No. 1
A relaxed structure of NbCoNiIr. Source: Alexandria, functional GGA-PBE.

The calculated total energy is -8.30 eV per atom. The calculation puts the density of states at the Fermi level at 2.14 states/eV/f.u. As for the crystal system: orthorhombic. The volume is 13.39 A^3/atom.

The space group is Pmmm (No. 47) and the conventional cell measures 3.7245, 3.7548 and 3.8298 Å, with angles of 90.00, 90.00 and 90.00 degrees. The inequivalent atoms are Nb at (0.0000, 0.0000, 0.0000), Co at (0.5000, 0.5000, 0.0000), Ni at (0.0000, 0.5000, 0.5000) and Ir at (0.5000, 0.0000, 0.5000).


No. 2
A relaxed structure of ScHgBr. Source: Alexandria, functional GGA-PBE.

The calculation puts the density of states at the Fermi level at 2.48 states/eV/f.u. The uncorrected formation energy is -185 kJ/mol of formula units. As for the crystal system: tetragonal. The volume is 26.69 A^3/atom. The energy above the lowest structure with this stoichiometry is 165 meV per atom.

The space group is I4mm (No. 107) and the conventional cell measures 3.4125, 3.4125 and 13.7526 Å, with angles of 90.00, 90.00 and 90.00 degrees. The inequivalent atoms are Sc at (0.0000, 0.0000, 0.0000), Hg at (0.0000, 0.0000, 0.3648) and Br at (0.0000, 0.0000, 0.6162).


No. 3
A relaxed structure of Nd3Sm4Rh4. Source: Alexandria, functional GGA-PBE.

The calculated total energy is -6.20 eV per atom. The calculation puts the density of states at the Fermi level at 9.20 states/eV/f.u. As for the crystal system: orthorhombic. The volume is 25.78 A^3/atom.

The space group is Immm (No. 71) and the conventional cell measures 3.8675, 9.0591 and 16.1895 Å, with angles of 90.00, 90.00 and 90.00 degrees. The inequivalent atoms are Nd at (0.0000, 0.0000, 0.0000), Nd at (0.0000, 0.5000, 0.1000), Sm at (0.0000, 0.3120, 0.3341), Rh at (0.0000, 0.0000, 0.2492) and Rh at (0.0000, 0.2252, 0.5000).